# 1
KCo3H at its PBEsol-relaxed geometry, computed with meta-GGA SCAN.

a = 3.8765 Å, b = 3.8765 Å, c = 3.8765 Å
α = 90.00°, β = 90.00°, γ = 90.00°
Last column: nearest neighbours and their distance in Å.
Fractional positions:
H (0.0000, 0.0000, 0.0000)  6 Co 1.94
Co (0.0000, 0.5000, 0.0000)  2 H 1.94
Co (0.0000, 0.0000, 0.5000)  2 H 1.94
Co (0.5000, 0.0000, 0.0000)  2 H 1.94
K (0.5000, 0.5000, 0.5000)  12 Co 2.74

Computed properties:
The symmetry is Pm-3m (221). The uncorrected energy comes out at -0.4245 hartree per atom.


# 2
K2CoP2H6O8 at its PBEsol-relaxed geometry, computed with meta-GGA SCAN.

a = 5.2557 Å, b = 6.8117 Å, c = 7.3107 Å
α = 113.94°, β = 90.00°, γ = 112.69°
Last column: nearest neighbours and their distance in Å.
Fractional positions:
O (0.6252, 0.7307, 0.3846)  1 P 1.53
O (0.1055, 0.7307, 0.3846)  1 P 1.53
O (0.9228, 0.8456, 0.1326)  1 P 1.54
O (0.4865, 0.9729, 0.7824)  2 H 1.00
O (0.3748, 0.2693, 0.6154)  1 P 1.53
O (0.5135, 0.0271, 0.2176)  2 H 1.00
O (0.8945, 0.2693, 0.6154)  1 P 1.53
O (0.0772, 0.1544, 0.8674)  1 P 1.54
K (0.1626, 0.3252, 0.2887)  6 O 2.70-2.86, 2 H 2.86
K (0.8374, 0.6748, 0.7113)  6 O 2.70-2.86, 2 H 2.86
H (0.2715, 0.5430, 0.8893)  1 P 1.43
H (0.3790, 0.0672, 0.8493)  1 O 1.00
H (0.3118, 0.9328, 0.1507)  1 O 1.00
H (0.6210, 0.9328, 0.1507)  1 O 1.00
H (0.6882, 0.0672, 0.8493)  1 O 1.00
H (0.7285, 0.4570, 0.1107)  1 P 1.43
Co (0.5000, 0.0000, 0.5000)  6 O 2.05-2.14
P (0.8504, 0.7008, 0.2561)  1 H 1.43, 3 O 1.53-1.54
P (0.1496, 0.2992, 0.7439)  1 H 1.43, 3 O 1.53-1.54

Computed properties:
The symmetry is C2/m (12). The uncorrected energy comes out at -0.3025 hartree per atom.


# 3
K2CoP4H8O16 at its PBEsol-relaxed geometry, computed with meta-GGA SCAN.

a = 6.8695 Å, b = 7.3512 Å, c = 7.4630 Å
α = 80.06°, β = 73.48°, γ = 83.88°
Last column: nearest neighbours and their distance in Å.
Fractional positions:
O (0.7647, 0.6585, 0.9267)  1 H 1.36, 1 P 1.52
O (0.5558, 0.7075, 0.2753)  2 H 1.00
O (0.7399, 0.3274, 0.3693)  1 P 1.51
O (0.9280, 0.2145, 0.0554)  1 H 1.08
O (0.7050, 0.5967, 0.6181)  1 P 1.51
O (0.2950, 0.4033, 0.3819)  1 P 1.51
O (0.4442, 0.2925, 0.7247)  2 H 1.00
O (0.2353, 0.3415, 0.0733)  1 H 1.36, 1 P 1.52
O (0.4397, 0.7683, 0.8574)  2 P 1.62
O (0.7397, 0.9888, 0.3329)  1 H 1.36
O (0.2330, 0.0814, 0.3415)  1 H 1.09
O (0.7670, 0.9186, 0.6585)  1 H 1.09
O (0.5603, 0.2317, 0.1426)  2 P 1.62
O (0.0720, 0.7855, 0.9446)  1 H 1.08
O (0.2603, 0.0112, 0.6671)  1 H 1.36
O (0.2601, 0.6726, 0.6307)  1 P 1.51
H (0.6308, 0.6779, 0.1460)  1 O 1.00
H (0.3818, 0.1823, 0.7062)  1 O 1.00
H (0.9396, 0.7272, 0.9313)  1 O 1.08
H (0.0604, 0.2728, 0.0687)  1 O 1.08
H (0.6182, 0.8177, 0.2938)  1 O 1.00
H (0.7503, 0.9548, 0.5153)  1 O 1.09
H (0.2497, 0.0452, 0.4847)  1 O 1.09
H (0.3692, 0.3221, 0.8540)  1 O 1.00
Co (0.5000, 0.5000, 0.5000)  6 O 2.04-2.10
P (0.6789, 0.7283, 0.7590)  4 O 1.51-1.62
P (0.3211, 0.2717, 0.2410)  4 O 1.51-1.62
P (0.7480, 0.1914, 0.2370)  4 O 1.51-1.62
P (0.2520, 0.8086, 0.7630)  4 O 1.51-1.62
K (0.8798, 0.2568, 0.6978)  6 O 2.70-2.99, 1 H 3.02
K (0.1202, 0.7432, 0.3022)  6 O 2.70-2.99, 1 H 3.02

Computed properties:
The symmetry is P-1 (2). The uncorrected energy comes out at -0.3098 hartree per atom.


# 4
K2CoH4Se2O10 at its PBEsol-relaxed geometry, computed with meta-GGA SCAN.

a = 5.5508 Å, b = 6.5161 Å, c = 7.5812 Å
α = 113.44°, β = 96.71°, γ = 104.01°
Last column: nearest neighbours and their distance in Å.
Fractional positions:
H (0.1426, 0.9736, 0.6968)  1 O 1.01
H (0.8574, 0.0264, 0.3032)  1 O 1.01
H (0.8508, 0.8338, 0.6113)  1 O 1.00
H (0.1492, 0.1662, 0.3887)  1 O 1.00
O (0.3912, 0.8723, 0.6651)  1 Se 1.67, 1 H 1.67
O (0.1507, 0.7286, 0.9132)  1 Se 1.70
O (0.0300, 0.0142, 0.2812)  2 H 1.00-1.01
O (0.8493, 0.2714, 0.0868)  1 Se 1.70
O (0.2762, 0.4116, 0.6127)  1 Se 1.65, 1 H 1.72
O (0.9700, 0.9858, 0.7188)  2 H 1.00-1.01
O (0.3488, 0.2511, 0.0771)  1 Se 1.68
O (0.6512, 0.7489, 0.9229)  1 Se 1.68
O (0.7238, 0.5884, 0.3873)  1 Se 1.65, 1 H 1.72
O (0.6088, 0.1277, 0.3349)  1 Se 1.67, 1 H 1.67
Se (0.3695, 0.6930, 0.7741)  4 O 1.65-1.70
Se (0.6305, 0.3070, 0.2259)  4 O 1.65-1.70
K (0.7306, 0.3111, 0.7394)  7 O 2.73-2.91
K (0.2694, 0.6889, 0.2606)  7 O 2.73-2.91
Co (0.0000, 0.0000, 0.0000)  6 O 2.04-2.08

Computed properties:
The symmetry is P-1 (2). The uncorrected energy comes out at -0.3357 hartree per atom.


# 5
KCoHRu2 at its PBEsol-relaxed geometry, computed with meta-GGA SCAN.

a = 4.2830 Å, b = 4.6252 Å, c = 4.6252 Å
α = 90.00°, β = 90.00°, γ = 90.00°
Last column: nearest neighbours and their distance in Å.
Fractional positions:
H (0.5000, 0.5000, 0.5000)  8 Ru 3.15, 4 Co 3.27
Ru (0.0000, 0.5000, 0.0000)  2 K 2.31
Ru (0.0000, 0.0000, 0.5000)  2 K 2.31
K (0.0000, 0.0000, 0.0000)  2 Co 2.14, 4 Ru 2.31
Co (0.5000, 0.0000, 0.0000)  2 K 2.14

Computed properties:
The symmetry is P4/mmm (123). The uncorrected energy comes out at -0.6012 hartree per atom.


# 6
LiCo3H at its PBEsol-relaxed geometry, computed with meta-GGA SCAN.

a = 3.5353 Å, b = 3.5353 Å, c = 3.5353 Å
α = 90.00°, β = 90.00°, γ = 90.00°
Last column: nearest neighbours and their distance in Å.
Fractional positions:
Co (0.5000, 0.0000, 0.0000)  2 H 1.77
Co (0.0000, 0.5000, 0.0000)  2 H 1.77
Co (0.0000, 0.0000, 0.5000)  2 H 1.77
H (0.0000, 0.0000, 0.0000)  6 Co 1.77
Li (0.5000, 0.5000, 0.5000)  12 Co 2.50

Computed properties:
The symmetry is Pm-3m (221). The uncorrected energy comes out at -0.4161 hartree per atom.


- Which formula does entry 2 have?
  K2CoP2H6O8


Please write out number 1 again, unchanged.
KCo3H at its PBEsol-relaxed geometry, computed with meta-GGA SCAN.

a = 3.8765 Å, b = 3.8765 Å, c = 3.8765 Å
α = 90.00°, β = 90.00°, γ = 90.00°
Last column: nearest neighbours and their distance in Å.
Fractional positions:
H (0.0000, 0.0000, 0.0000)  6 Co 1.94
Co (0.0000, 0.5000, 0.0000)  2 H 1.94
Co (0.0000, 0.0000, 0.5000)  2 H 1.94
Co (0.5000, 0.0000, 0.0000)  2 H 1.94
K (0.5000, 0.5000, 0.5000)  12 Co 2.74

Computed properties:
The symmetry is Pm-3m (221). The uncorrected energy comes out at -0.4245 hartree per atom.


- Look up the uncorrected energy of the first one.
  -0.4245 hartree per atom


- The highest uncorrected energy belongs to which entry?
  K2CoP2H6O8